No. 1
Computed, not measured: a geometry-optimized Tl2TeAu2 structure at the PBE level of DFT.

* excess energy over the best structure of this formula in the dataset: 0 meV per atom

Cell: 7.557 7.557 4.643 Å, 90.00 90.00 90.00°
Fractional coordinates of all 10 atoms:
Tl  0.169  0.331  0.000
Tl  0.331  0.831  0.000
Tl  0.669  0.169  0.000
Tl  0.831  0.669  0.000
Te  0.000  0.000  0.500
Te  0.500  0.500  0.500
Au  0.133  0.633  0.500
Au  0.367  0.133  0.500
Au  0.633  0.867  0.500
Au  0.867  0.367  0.500

---

No. 2
Computed, not measured: a geometry-optimized Pm3Mg9Rh2 structure at the PBE level of DFT.

* energy of formation: -0.22 eV per atom

Cell: 8.517 8.517 8.517 Å, 146.11 102.04 87.78°
Fractional coordinates of all 14 atoms:
Pm  0.000  0.000  0.000
Pm  0.307  0.307  0.000
Pm  0.693  0.693  0.000
Mg  0.008  0.368  0.640
Mg  0.154  0.874  0.280
Mg  0.272  0.632  0.640
Mg  0.406  0.126  0.280
Mg  0.500  0.000  0.500
Mg  0.594  0.874  0.720
Mg  0.728  0.368  0.360
Mg  0.846  0.126  0.720
Mg  0.992  0.632  0.360
Rh  0.347  0.500  0.847
Rh  0.653  0.500  0.153

---

No. 3
Computed, not measured: a geometry-optimized MnTlSi2 structure at the PBE level of DFT.

* excess energy over the best structure of this formula in the dataset: 83 meV per atom

Cell: 4.213 4.213 6.478 Å, 102.93 102.93 44.55°
Fractional coordinates of all 4 atoms:
Mn  0.000  0.000  0.000
Tl  0.500  0.500  0.500
Si  0.270  0.270  0.863
Si  0.730  0.730  0.137

---

No. 4
Computed, not measured: a geometry-optimized La3CoCu structure at the PBE level of DFT.

* energy of formation: 0.08 eV per atom
* excess energy over the best structure of this formula in the dataset: 202 meV per atom

Cell: 5.293 5.293 5.293 Å, 90.00 90.00 90.00°
Fractional coordinates of all 5 atoms:
La  0.000  0.000  0.500
La  0.000  0.500  0.000
La  0.500  0.000  0.000
Co  0.000  0.000  0.000
Cu  0.500  0.500  0.500

---

No. 5
Computed, not measured: a geometry-optimized NaCaMgZn structure at the PBE level of DFT.

* energy of formation: -0.02 eV per atom

Cell: 5.209 5.209 5.209 Å, 60.00 60.00 60.00°
Fractional coordinates of all 4 atoms:
Na  0.000  0.000  0.000
Ca  0.250  0.250  0.250
Mg  0.750  0.750  0.750
Zn  0.500  0.500  0.500

---

No. 6
Computed, not measured: a geometry-optimized Pm3Nd2Er6 structure at the PBE level of DFT.

* energy of formation: 0.19 eV per atom
* excess energy over the best structure of this formula in the dataset: 0 meV per atom

Cell: 6.155 6.155 11.658 Å, 95.05 95.05 120.07°
Fractional coordinates of all 11 atoms:
Pm  0.000  0.000  0.000
Pm  0.336  0.664  0.000
Pm  0.664  0.336  0.000
Nd  0.167  0.833  0.500
Nd  0.833  0.167  0.500
Er  0.083  0.416  0.250
Er  0.251  0.251  0.750
Er  0.416  0.083  0.250
Er  0.584  0.917  0.750
Er  0.749  0.749  0.250
Er  0.917  0.584  0.750

---

No. 7
Computed, not measured: a geometry-optimized SmDyInAu structure at the PBE level of DFT.

* energy of formation: -0.59 eV per atom
* excess energy over the best structure of this formula in the dataset: 67 meV per atom

Cell: 5.279 5.279 5.279 Å, 60.00 60.00 60.00°
Fractional coordinates of all 4 atoms:
Sm  0.000  0.000  0.000
Dy  0.500  0.500  0.500
In  0.250  0.250  0.250
Au  0.750  0.750  0.750

---

No. 8
Computed, not measured: a geometry-optimized CoRu2Br structure at the PBE level of DFT.

* excess energy over the best structure of this formula in the dataset: 330 meV per atom

Cell: 2.869 4.260 5.355 Å, 90.00 104.70 90.00°
Fractional coordinates of all 4 atoms:
Co  0.000  0.000  0.000
Ru  0.165  0.500  0.792
Ru  0.835  0.500  0.208
Br  0.000  0.000  0.500